First-principles (PBE) data for a relaxed KZr2As crystal, as listed in Alexandria.

The mass density is 5.5 g cm⁻³. The total magnetic moment is 0.5 μB per formula unit. The formation energy comes out at 389 meV/atom. The density of states at the Fermi level comes out at 4.65 states/eV per cell. The value obtained for the calculated total energy is -5.322 eV per atom.

Cell lengths 4.5102, 4.5102, 4.4404 Å; angles 90.00, 90.00, 90.00 degrees
Space group P4/mmm (No. 123)
One atom of each set of equivalent atoms:
K  0.0000  0.0000  0.0000 x1
Zr  0.0000  0.5000  0.5000 x2
As  0.5000  0.5000  0.0000 x1